(1)
# meta-GGA SCAN FeHgTe2, single point on PBEsol structure
data_FeHgTe2
_chemical_formula_sum 'Fe1 Hg1 Te2'
_space_group_name_H-M_alt 'P 1'
_space_group_IT_number 1
_space_group_name_Hall 'P 1'
_cell_length_a 3.1833
_cell_length_b 3.1833
_cell_length_c 11.6609
_cell_angle_alpha 82.16
_cell_angle_beta 82.16
_cell_angle_gamma 60.00
loop_
_atom_site_label
_atom_site_type_symbol
_atom_site_fract_x
_atom_site_fract_y
_atom_site_fract_z
Te1 Te 0.9278 0.9278 0.2166
Te2 Te 0.0722 0.0722 0.7834
Hg1 Hg 0.5000 0.5000 0.5000
Fe1 Fe 0.0000 0.0000 0.0000
# formation energy without anion corrections: 0.417 eV/atom
# Fermi-level density of states: 3.918 states/eV per cell
# size of the total moment: 3.0 μB per formula unit

---

(2)
# meta-GGA SCAN Tl2FeHg, single point on PBEsol structure
data_Tl2FeHg
_chemical_formula_sum 'Tl2 Fe1 Hg1'
_space_group_name_H-M_alt 'P 1'
_space_group_IT_number 1
_space_group_name_Hall 'P 1'
_cell_length_a 5.0048
_cell_length_b 5.0048
_cell_length_c 5.0048
_cell_angle_alpha 60.00
_cell_angle_beta 60.00
_cell_angle_gamma 60.00
loop_
_atom_site_label
_atom_site_type_symbol
_atom_site_fract_x
_atom_site_fract_y
_atom_site_fract_z
Hg1 Hg 0.7500 0.7500 0.7500
Fe1 Fe 0.5000 0.5000 0.5000
Tl1 Tl 0.2500 0.2500 0.2500
Tl2 Tl 0.0000 0.0000 0.0000
# VASP energy: -57.20 eV/atom
# Fermi-level density of states: 3.499 states/eV per cell
# size of the total moment: 3.0 μB per formula unit

---

(3)
# meta-GGA SCAN Tl2FeHg, single point on PBEsol structure
data_Tl2FeHg
_chemical_formula_sum 'Tl2 Fe1 Hg1'
_space_group_name_H-M_alt 'P 1'
_space_group_IT_number 1
_space_group_name_Hall 'P 1'
_cell_length_a 3.1571
_cell_length_b 5.1509
_cell_length_c 5.4002
_cell_angle_alpha 90.00
_cell_angle_beta 90.00
_cell_angle_gamma 90.00
loop_
_atom_site_label
_atom_site_type_symbol
_atom_site_fract_x
_atom_site_fract_y
_atom_site_fract_z
Hg1 Hg 0.0000 0.5000 0.5000
Tl1 Tl 0.5000 0.0000 0.5000
Tl2 Tl 0.0000 0.0000 0.0000
Fe1 Fe 0.5000 0.5000 0.0000
# VASP energy: -57.27 eV/atom
# Fermi-level density of states: 1.570 states/eV per cell
# size of the total moment: 3.2 μB per formula unit

---

(4)
# meta-GGA SCAN Tl2FeHg, single point on PBEsol structure
data_Tl2FeHg
_chemical_formula_sum 'Tl2 Fe1 Hg1'
_space_group_name_H-M_alt 'P 1'
_space_group_IT_number 1
_space_group_name_Hall 'P 1'
_cell_length_a 3.1137
_cell_length_b 5.2938
_cell_length_c 5.2938
_cell_angle_alpha 90.00
_cell_angle_beta 90.00
_cell_angle_gamma 90.00
loop_
_atom_site_label
_atom_site_type_symbol
_atom_site_fract_x
_atom_site_fract_y
_atom_site_fract_z
Fe1 Fe 0.5000 0.5000 0.5000
Tl1 Tl 0.0000 0.0000 0.5000
Tl2 Tl 0.0000 0.5000 0.0000
Hg1 Hg 0.5000 0.0000 0.0000
# VASP energy: -57.31 eV/atom
# Fermi-level density of states: 1.519 states/eV per cell
# size of the total moment: 3.2 μB per formula unit

---

(5)
# meta-GGA SCAN TlFeHg2, single point on PBEsol structure
data_TlFeHg2
_chemical_formula_sum 'Tl1 Fe1 Hg2'
_space_group_name_H-M_alt 'P 1'
_space_group_IT_number 1
_space_group_name_Hall 'P 1'
_cell_length_a 3.3355
_cell_length_b 4.5027
_cell_length_c 5.6458
_cell_angle_alpha 90.00
_cell_angle_beta 102.14
_cell_angle_gamma 90.00
loop_
_atom_site_label
_atom_site_type_symbol
_atom_site_fract_x
_atom_site_fract_y
_atom_site_fract_z
Hg1 Hg 0.1358 0.0000 0.2764
Hg2 Hg 0.8642 0.0000 0.7236
Fe1 Fe 0.5000 0.5000 0.5000
Tl1 Tl 0.5000 0.5000 0.0000
# VASP energy: -56.34 eV/atom
# Fermi-level density of states: 2.018 states/eV per cell
# size of the total moment: 2.9 μB per formula unit

---

(6)
# meta-GGA SCAN Tl2FeHg, single point on PBEsol structure
data_Tl2FeHg
_chemical_formula_sum 'Tl2 Fe1 Hg1'
_space_group_name_H-M_alt 'P 1'
_space_group_IT_number 1
_space_group_name_Hall 'P 1'
_cell_length_a 4.1966
_cell_length_b 4.1966
_cell_length_c 5.6755
_cell_angle_alpha 111.70
_cell_angle_beta 111.70
_cell_angle_gamma 90.00
loop_
_atom_site_label
_atom_site_type_symbol
_atom_site_fract_x
_atom_site_fract_y
_atom_site_fract_z
Fe1 Fe 0.5000 0.5000 0.0000
Tl1 Tl 0.7500 0.2500 0.5000
Tl2 Tl 0.0000 0.0000 0.0000
Hg1 Hg 0.2500 0.7500 0.5000
# VASP energy: -57.26 eV/atom
# Fermi-level density of states: 2.526 states/eV per cell
# size of the total moment: 3.0 μB per formula unit